Density functional theory data (PBE) for an optimized crystal structure of LaFe2Sn.

Summary:
Energy of formation ... 0.68 eV/atom
Crystal system ... tetragonal
V ... 161 Å³/cell
Space-group type ... I-42d

abc: 8.6623 8.6623 8.6623
angles: 150.07 150.07 42.84
With the nearest neighbours (Å) after each atom.
Positions (direct):
La  0.0000  0.0000  0.0000  4 Fe 2.50
La  0.7500  0.2500  0.5000  4 Fe 2.50
Fe  0.0928  0.6250  0.9678  2 La 2.50, 2 Sn 2.63
Fe  0.3750  0.3428  0.4678  2 La 2.50, 2 Sn 2.63
Fe  0.6572  0.1250  0.0322  2 La 2.50, 2 Sn 2.63
Fe  0.8750  0.9072  0.5322  2 La 2.50, 2 Sn 2.63
Sn  0.2500  0.7500  0.5000  4 Fe 2.63
Sn  0.5000  0.5000  0.0000  4 Fe 2.63

Density functional theory data (PBE) for an optimized crystal structure of TlSi2As.

Summary:
Crystal system ... trigonal
V ... 85 Å³/cell
Space-group type ... R3m
Formation energy without anion corrections ... 0.248 eV per atom

abc: 7.6113 7.6113 7.6113
angles: 27.90 27.90 27.90
With the nearest neighbours (Å) after each atom.
Positions (direct):
Tl  0.0000  0.0000  0.0000  3 Si 3.04, 3 As 3.20
Si  0.2340  0.2340  0.2340  3 Si 2.51
Si  0.5059  0.5059  0.5059  3 Si 2.51, 3 As 2.53
As  0.7761  0.7761  0.7761  3 Si 2.53

Density functional theory data (PBE) for an optimized crystal structure of As2RuCl.

Summary:
Crystal system ... trigonal
V ... 76 Å³/cell
Space-group type ... R3m
Formation energy without anion corrections ... 0.158 eV per atom

abc: 8.9971 8.9971 8.9971
angles: 20.16 20.16 20.16
With the nearest neighbours (Å) after each atom.
Positions (direct):
As  0.0000  0.0000  0.0000  3 Ru 2.45
As  0.2496  0.2496  0.2496  9 As 2.86-3.15
Ru  0.7286  0.7286  0.7286  3 As 2.45, 3 Cl 2.60
Cl  0.4656  0.4656  0.4656  3 Ru 2.60

Density functional theory data (PBE) for an optimized crystal structure of Sr2TlCl.

Summary:
Crystal system ... tetragonal
V ... 308 Å³/cell
Space-group type ... I-42d
Formation energy without anion corrections ... -0.916 eV per atom

abc: 7.3789 7.3789 7.3789
angles: 111.59 111.59 105.32
With the nearest neighbours (Å) after each atom.
Positions (direct):
Sr  0.0899  0.6250  0.9649  2 Cl 2.96
Sr  0.3750  0.3399  0.4649  2 Cl 2.96
Sr  0.6601  0.1250  0.0351  2 Cl 2.96
Sr  0.8750  0.9101  0.5351  2 Cl 2.96
Tl  0.2500  0.7500  0.5000  4 Sr 3.34
Tl  0.5000  0.5000  0.0000  4 Sr 3.34
Cl  0.0000  0.0000  0.0000  4 Sr 2.96
Cl  0.7500  0.2500  0.5000  4 Sr 2.96

Density functional theory data (PBE) for an optimized crystal structure of Na2LiCl3.

Summary:
Crystal system ... orthorhombic
V ... 127 Å³/cell
Space-group type ... Immm
Formation energy without anion corrections ... -1.787 eV per atom

abc: 6.7825 6.7825 6.7825
angles: 146.95 131.39 60.05
With the nearest neighbours (Å) after each atom.
Positions (direct):
Na  0.1685  0.1685  0.0000  6 Cl 2.76-2.84
Na  0.8315  0.8315  0.0000  6 Cl 2.76-2.84
Li  0.5000  0.5000  0.0000  6 Cl 2.64-2.79
Cl  0.0000  0.5000  0.5000  4 Na 2.76, 2 Li 2.79
Cl  0.3462  0.8462  0.5000  2 Li 2.64, 4 Na 2.80-2.84
Cl  0.6538  0.1538  0.5000  2 Li 2.64, 4 Na 2.80-2.84

Density functional theory data (PBE) for an optimized crystal structure of Mg5Cd2Hg2.

Summary:
Energy of formation ... -0.09 eV/atom
Crystal system ... orthorhombic
V ... 418 Å³/cell
Space-group type ... Cmce

abc: 8.2758 8.2758 7.5112
angles: 90.00 90.00 54.39
With the nearest neighbours (Å) after each atom.
Positions (direct):
Mg  0.0000  0.0000  0.0000  4 Hg 2.89-2.92, 2 Cd 3.06
Mg  0.0313  0.7010  0.6661  3 Hg 2.85-3.04, 3 Cd 2.92-3.03
Mg  0.2010  0.5313  0.1661  3 Hg 2.85-3.04, 3 Cd 2.92-3.03
Mg  0.2990  0.9687  0.6661  3 Hg 2.85-3.04, 3 Cd 2.92-3.03
Mg  0.4687  0.7990  0.1661  3 Hg 2.85-3.04, 3 Cd 2.92-3.03
Mg  0.5000  0.5000  0.5000  4 Hg 2.89-2.92, 2 Cd 3.06
Mg  0.5313  0.2010  0.8339  3 Hg 2.85-3.04, 3 Cd 2.92-3.03
Mg  0.7010  0.0313  0.3339  3 Hg 2.85-3.04, 3 Cd 2.92-3.03
Mg  0.7990  0.4687  0.8339  3 Hg 2.85-3.04, 3 Cd 2.92-3.03
Mg  0.9687  0.2990  0.3339  3 Hg 2.85-3.04, 3 Cd 2.92-3.03
Cd  0.2081  0.2081  0.0000  7 Mg 2.92-3.06
Cd  0.2919  0.2919  0.5000  7 Mg 2.92-3.06
Cd  0.7081  0.7081  0.5000  7 Mg 2.92-3.06
Cd  0.7919  0.7919  0.0000  7 Mg 2.92-3.06
Hg  0.1398  0.8602  0.3584  8 Mg 2.85-3.04, 1 Hg 3.00
Hg  0.3602  0.6398  0.8584  8 Mg 2.85-3.04, 1 Hg 3.00
Hg  0.6398  0.3602  0.1416  8 Mg 2.85-3.04, 1 Hg 3.00
Hg  0.8602  0.1398  0.6416  8 Mg 2.85-3.04, 1 Hg 3.00

| no. | raw total energy (eV per atom) |
| --- | --- |
| 1 | -5.79 |
| 2 | -4.22 |
| 3 | -4.95 |
| 4 | -2.81 |
| 5 | -3.47 |
| 6 | -1.25 |